DFT (GGA-PBE) results for a relaxed Nd8NiAg2 crystal.

The structure in CIF format:
```
data_Nd8NiAg2
_space_group_name_H-M_alt 'C 1 m 1'
_space_group_IT_number 8
_cell_length_a 7.603
_cell_length_b 16.501
_cell_length_c 6.288
_cell_angle_alpha 90.00
_cell_angle_beta 121.82
_cell_angle_gamma 90.00
loop_
_space_group_symop_operation_xyz
'x,y,z'
'x,-y,z'
'x+1/2,y+1/2,z'
'x+1/2,-y+1/2,z'
loop_
_atom_site_label
_atom_site_type_symbol
_atom_site_fract_x
_atom_site_fract_y
_atom_site_fract_z
_atom_site_occupancy
Nd1 Nd 0.000 0.000 0.000 1
Nd2 Nd 0.026 0.387 0.881 1
Nd3 Nd 0.037 0.500 0.385 1
Nd4 Nd 0.259 0.197 0.210 1
Nd5 Nd 0.480 0.385 0.514 1
Ni1 Ni 0.255 0.000 0.517 1
Ag1 Ag 0.259 0.279 0.711 1
```

Output
E above lowest polymorph = 19 meV/atom